## SrTcNi2O (PBE with a Hubbard U)

Data for a relaxed structure of SrTcNi2O.

Cell lengths 4.1781, 4.7189, 4.1781 Å; angles 90.00, 90.00, 90.00 degrees
Last column: nearest neighbours and their distance in Å.
Sites, in units of the cell vectors:
O (0.0000, 0.0000, 0.0000)  4 Ni 2.09
Sr (0.0000, 0.5000, 0.0000)  2 O 2.36
Tc (0.5000, 0.5000, 0.5000)  4 Sr 2.95, 8 Ni 3.15
Ni (0.5000, 0.0000, 0.0000)  2 O 2.09
Ni (0.0000, 0.0000, 0.5000)  2 O 2.09

- DOS(E_F) (states/eV/f.u.) = 4.4
- calculated volume (Å³/cell) = 82.4
- energy above the most stable polymorph in this dataset (meV per atom) = 0
- symmetry = No. 123
- magnetic moment (μB per cell) = 4.7